The following is a PBE-GGA calculation of a geometry-optimized CaPm2Dy3Te6 structure, from the Alexandria database. Values from VASP.

Structure (Quantum ESPRESSO input):
```
&SYSTEM
  ibrav = 0, nat = 12, ntyp = 4
/
ATOMIC_SPECIES
Ca 40.08 Ca.upf
Pm 145.00 Pm.upf
Dy 162.50 Dy.upf
Te 127.60 Te.upf
CELL_PARAMETERS angstrom
9.644 -2.199 0.000
9.644 2.199 0.000
-2.079 0.000 8.614
ATOMIC_POSITIONS angstrom
Ca 0.000 0.000 0.000
Pm 4.948 0.000 5.651
Pm 12.261 0.000 2.964
Dy -1.040 0.000 4.307
Dy 6.021 0.000 1.484
Dy 11.188 0.000 7.131
Te 1.895 0.000 5.063
Te 3.051 0.000 0.659
Te 9.105 0.000 2.170
Te 8.103 0.000 6.445
Te 14.158 0.000 7.956
Te 15.314 0.000 3.551
```

## Properties
Formation energy from raw total energies (eV per atom): -1.386
SG: No. 12
Crystal system: monoclinic
Theoretical density (g cm⁻³): 7.19
Total moment (Bohr magnetons per cell): 0.000

The following is a PBE-GGA calculation of a geometry-optimized Ca2Pm3DyTe6 structure, from the Alexandria database. Values from VASP.

Structure (Quantum ESPRESSO input):
```
&SYSTEM
  ibrav = 0, nat = 12, ntyp = 4
/
ATOMIC_SPECIES
Ca 40.08 Ca.upf
Pm 145.00 Pm.upf
Dy 162.50 Dy.upf
Te 127.60 Te.upf
CELL_PARAMETERS angstrom
3.824 -6.628 0.000
3.824 6.628 0.000
-2.560 0.000 7.398
ATOMIC_POSITIONS angstrom
Ca 3.824 4.426 0.000
Ca 3.824 -4.426 0.000
Pm -1.280 0.000 3.699
Pm 2.544 2.282 3.699
Pm 2.544 -2.282 3.699
Dy 3.824 0.000 0.000
Te 0.006 2.186 5.613
Te 1.302 0.000 1.837
Te 0.006 -2.186 5.613
Te 5.082 2.186 1.785
Te 3.787 0.000 5.561
Te 5.082 -2.186 1.785
```

## Properties
Formation energy from raw total energies (eV per atom): -1.452
SG: No. 12
Crystal system: monoclinic
Theoretical density (g cm⁻³): 6.39
Total moment (Bohr magnetons per cell): 0.000

The following is a PBE-GGA calculation of a geometry-optimized CaPm3Dy2Te6 structure, from the Alexandria database. Values from VASP.

Structure (Quantum ESPRESSO input):
```
&SYSTEM
  ibrav = 0, nat = 12, ntyp = 4
/
ATOMIC_SPECIES
Ca 40.08 Ca.upf
Pm 145.00 Pm.upf
Dy 162.50 Dy.upf
Te 127.60 Te.upf
CELL_PARAMETERS angstrom
9.682 -2.203 0.000
9.682 2.203 0.000
-2.161 0.000 8.657
ATOMIC_POSITIONS angstrom
Ca 0.000 0.000 0.000
Pm -1.080 0.000 4.328
Pm 6.102 0.000 1.513
Pm 11.101 0.000 7.144
Dy 4.968 0.000 5.722
Dy 12.235 0.000 2.934
Te 3.026 0.000 0.758
Te 1.994 0.000 4.988
Te 7.978 0.000 6.513
Te 9.225 0.000 2.143
Te 15.209 0.000 3.669
Te 14.178 0.000 7.899
```

## Properties
Formation energy from raw total energies (eV per atom): -1.400
SG: No. 12
Crystal system: monoclinic
Theoretical density (g cm⁻³): 7.04
Total moment (Bohr magnetons per cell): 0.000

The following is a PBE-GGA calculation of a geometry-optimized CaPmDy2Te4 structure, from the Alexandria database. Values from VASP.

Structure (Quantum ESPRESSO input):
```
&SYSTEM
  ibrav = 0, nat = 8, ntyp = 4
/
ATOMIC_SPECIES
Ca 40.08 Ca.upf
Pm 145.00 Pm.upf
Dy 162.50 Dy.upf
Te 127.60 Te.upf
CELL_PARAMETERS angstrom
7.640 0.000 0.000
0.000 4.384 0.000
-2.503 0.000 7.264
ATOMIC_POSITIONS angstrom
Ca 0.000 0.000 0.000
Pm -1.252 2.192 3.632
Dy 2.568 0.000 3.632
Dy 3.820 2.192 0.000
Te 1.331 2.192 1.815
Te 0.074 0.000 5.486
Te 5.063 0.000 1.778
Te 3.805 2.192 5.449
```

## Properties
Formation energy from raw total energies (eV per atom): -1.395
SG: No. 10
Crystal system: monoclinic
Theoretical density (g cm⁻³): 6.97
Total moment (Bohr magnetons per cell): 0.000

The following is a PBE-GGA calculation of a geometry-optimized Ca4Pm3DyTe8 structure, from the Alexandria database. Values from VASP.

Structure (Quantum ESPRESSO input):
```
&SYSTEM
  ibrav = 0, nat = 16, ntyp = 4
/
ATOMIC_SPECIES
Ca 40.08 Ca.upf
Pm 145.00 Pm.upf
Dy 162.50 Dy.upf
Te 127.60 Te.upf
CELL_PARAMETERS angstrom
4.429 2.557 7.419
-4.429 2.557 7.419
0.000 -5.114 7.419
ATOMIC_POSITIONS angstrom
Ca 0.000 0.000 0.000
Ca -2.214 -1.278 7.419
Ca -2.214 1.278 14.839
Ca 0.000 2.557 7.419
Pm -4.429 0.000 11.129
Pm -2.214 1.278 3.710
Pm 2.214 1.278 3.710
Dy 0.000 0.000 11.129
Te 0.000 0.000 5.591
Te 0.000 -2.520 9.274
Te -2.182 1.260 9.274
Te -2.182 -1.260 12.984
Te 2.182 1.260 9.274
Te 2.182 -1.260 12.984
Te 0.000 2.520 12.984
Te 0.000 0.000 16.667
```

## Properties
Formation energy from raw total energies (eV per atom): -1.494
SG: No. 166
Crystal system: trigonal
Theoretical density (g cm⁻³): 5.86
Total moment (Bohr magnetons per cell): 0.000

The following is a PBE-GGA calculation of a geometry-optimized CaPmDyTl structure, from the Alexandria database. Values from VASP.

Structure (Quantum ESPRESSO input):
```
&SYSTEM
  ibrav = 0, nat = 16, ntyp = 4
/
ATOMIC_SPECIES
Ca 40.08 Ca.upf
Pm 145.00 Pm.upf
Dy 162.50 Dy.upf
Tl 204.38 Tl.upf
CELL_PARAMETERS angstrom
7.914 0.000 0.000
0.000 7.914 0.000
0.000 0.000 7.914
ATOMIC_POSITIONS angstrom
Ca 0.000 0.000 0.000
Ca 0.000 3.957 3.957
Ca 3.957 0.000 3.957
Ca 3.957 3.957 0.000
Pm 1.979 1.979 5.936
Pm 1.979 5.936 1.979
Pm 5.936 1.979 1.979
Pm 5.936 5.936 5.936
Dy 0.000 0.000 3.957
Dy 0.000 3.957 0.000
Dy 3.957 0.000 0.000
Dy 3.957 3.957 3.957
Tl 1.979 1.979 1.979
Tl 1.979 5.936 5.936
Tl 5.936 1.979 5.936
Tl 5.936 5.936 1.979
```

## Properties
SG: No. 216
Crystal system: cubic
Theoretical density (g cm⁻³): 7.40
Total moment (Bohr magnetons per cell): 3.813

The following is a PBE-GGA calculation of a geometry-optimized CaPmDy2Tl4 structure, from the Alexandria database. Values from VASP.

Structure (Quantum ESPRESSO input):
```
&SYSTEM
  ibrav = 0, nat = 8, ntyp = 4
/
ATOMIC_SPECIES
Ca 40.08 Ca.upf
Pm 145.00 Pm.upf
Dy 162.50 Dy.upf
Tl 204.38 Tl.upf
CELL_PARAMETERS angstrom
2.707 1.563 8.910
-2.707 1.563 8.910
0.000 -3.126 8.910
ATOMIC_POSITIONS angstrom
Ca 0.000 0.000 0.000
Pm 0.000 0.000 13.366
Dy 0.000 0.000 6.748
Dy 0.000 0.000 19.983
Tl 0.000 0.000 3.346
Tl 0.000 0.000 10.029
Tl 0.000 0.000 16.702
Tl 0.000 0.000 23.385
```

## Properties
SG: No. 166
Crystal system: trigonal
Theoretical density (g cm⁻³): 9.75
Total moment (Bohr magnetons per cell): 0.000

The following is a PBE-GGA calculation of a geometry-optimized CaPmDyTm structure, from the Alexandria database. Values from VASP.

Structure (Quantum ESPRESSO input):
```
&SYSTEM
  ibrav = 0, nat = 16, ntyp = 4
/
ATOMIC_SPECIES
Ca 40.08 Ca.upf
Pm 145.00 Pm.upf
Dy 162.50 Dy.upf
Tm 168.93 Tm.upf
CELL_PARAMETERS angstrom
8.137 0.000 0.000
0.000 8.137 0.000
0.000 0.000 8.137
ATOMIC_POSITIONS angstrom
Ca 0.000 0.000 0.000
Ca 0.000 4.068 4.068
Ca 4.068 0.000 4.068
Ca 4.068 4.068 0.000
Pm 2.034 2.034 6.103
Pm 2.034 6.103 2.034
Pm 6.103 2.034 2.034
Pm 6.103 6.103 6.103
Dy 2.034 2.034 2.034
Dy 2.034 6.103 6.103
Dy 6.103 2.034 6.103
Dy 6.103 6.103 2.034
Tm 0.000 0.000 4.068
Tm 0.000 4.068 0.000
Tm 4.068 0.000 0.000
Tm 4.068 4.068 4.068
```

## Properties
SG: No. 216
Crystal system: cubic
Theoretical density (g cm⁻³): 6.37
Total moment (Bohr magnetons per cell): 0.000

The following is a PBE-GGA calculation of a geometry-optimized CaPm6Dy2Y3 structure, from the Alexandria database. Values from VASP.

Structure (Quantum ESPRESSO input):
```
&SYSTEM
  ibrav = 0, nat = 12, ntyp = 4
/
ATOMIC_SPECIES
Ca 40.08 Ca.upf
Pm 145.00 Pm.upf
Dy 162.50 Dy.upf
Y 88.91 Y.upf
CELL_PARAMETERS angstrom
3.150 -5.454 0.000
3.150 5.454 0.000
-2.087 0.000 11.737
ATOMIC_POSITIONS angstrom
Ca 0.000 0.000 0.000
Pm 1.076 1.857 2.958
Pm 0.054 0.000 8.771
Pm 1.076 -1.857 2.958
Pm 3.138 1.857 8.779
Pm 4.160 0.000 2.966
Pm 3.138 -1.857 8.779
Dy 3.150 1.818 0.000
Dy 3.150 -1.818 0.000
Y 2.107 3.640 5.868
Y 2.107 0.000 5.868
Y 2.107 -3.640 5.868
```

## Properties
SG: No. 12
Crystal system: monoclinic
Theoretical density (g cm⁻³): 6.18
Total moment (Bohr magnetons per cell): 0.000

The following is a PBE-GGA calculation of a geometry-optimized CaPm6Dy2Y structure, from the Alexandria database. Values from VASP.

Structure (Quantum ESPRESSO input):
```
&SYSTEM
  ibrav = 0, nat = 20, ntyp = 4
/
ATOMIC_SPECIES
Ca 40.08 Ca.upf
Pm 145.00 Pm.upf
Dy 162.50 Dy.upf
Y 88.91 Y.upf
CELL_PARAMETERS angstrom
4.579 -7.749 0.000
4.579 7.749 0.000
-1.461 0.000 9.751
ATOMIC_POSITIONS angstrom
Ca 3.483 6.232 7.313
Ca 4.214 -6.232 2.438
Pm 0.075 1.638 6.079
Pm 2.483 3.559 1.729
Pm 0.805 -1.638 1.203
Pm 3.224 2.745 5.378
Pm 3.742 2.745 9.249
Pm 5.944 3.559 3.147
Pm 1.753 -3.559 6.604
Pm 3.955 -2.745 0.502
Pm 4.473 -2.745 4.373
Pm 6.891 1.638 8.547
Pm 5.214 -3.559 8.022
Pm 7.622 -1.638 3.672
Dy 0.892 0.800 9.337
Dy 1.623 -0.800 4.462
Dy 6.074 0.800 5.289
Dy 6.804 -0.800 0.413
Y 4.214 0.386 2.438
Y 3.483 -0.386 7.313
```

## Properties
SG: No. 15
Crystal system: monoclinic
Theoretical density (g cm⁻³): 6.35
Total moment (Bohr magnetons per cell): 0.000

Sequential total energy output: -5.0658 -4.9279 -5.0927 -4.9603 -4.7434 -3.3975 -3.5464 -3.8140 -4.8921 -4.4841 eV per atom
Sequential N(E_F) output: 5.9 5.9 5.9 3.7 6.1 7.0 5.3 6.5 13.8 14.9 states/eV/f.u.